No. 1
DFT (PBE) results for a relaxed Pm4Sm3ErSe8 crystal.

The magnetization is 0.00 Bohr magnetons per cell. The total DFT energy (no corrections) comes out at -5.905 eV/atom.

It has space group R-3m (No. 166, hexagonal axes), with a = 8.3297 Å, b = 8.3297 Å, c = 20.4857 Å, α = 90.00°, β = 90.00° and γ = 120.00°. The asymmetric unit holds Pm at (0.0000, 0.0000, 0.0000), Pm at (0.0000, 0.5000, 0.0000), Sm at (0.0000, 0.5000, 0.5000), Er at (0.0000, 0.0000, 0.5000), Se at (0.0000, 0.0000, 0.2492) and Se at (0.0066, 0.5033, 0.2476).

No. 2
DFT (PBE) results for a relaxed Tb4Dy2Pb3O2 crystal.

The magnetization is 0.00 Bohr magnetons per cell. The total DFT energy (no corrections) comes out at -5.820 eV/atom.

It has space group I4/mmm (No. 139), with a = 4.6923 Å, b = 4.6923 Å, c = 25.3486 Å, α = 90.00°, β = 90.00° and γ = 90.00°. The asymmetric unit holds Tb at (0.0000, 0.5000, 0.0840), Dy at (0.0000, 0.0000, 0.1926), Pb at (0.0000, 0.0000, 0.3196), Pb at (0.0000, 0.0000, 0.5000) and O at (0.0000, 0.0000, 0.1004).

No. 3
DFT (PBE) results for a relaxed TaAg3H crystal.

The magnetization is 0.48 Bohr magnetons per cell. For the offset from the most stable computed form, the calculation gives 1155 meV/atom.

It has space group Pm-3m (No. 221), with a = 5.2819 Å, b = 5.2819 Å, c = 5.2819 Å, α = 90.00°, β = 90.00° and γ = 90.00°. The asymmetric unit holds Ta at (0.0000, 0.0000, 0.0000), Ag at (0.0000, 0.0000, 0.5000) and H at (0.5000, 0.5000, 0.5000).